1.
# PmMgGeAu GGA-PBE optimized geometry
data_PmMgGeAu
_cell_length_a 4.996
_cell_length_b 4.996
_cell_length_c 4.996
_cell_angle_alpha 60.00
_cell_angle_beta 60.00
_cell_angle_gamma 60.00
_symmetry_space_group_name_H-M 'P 1'
_symmetry_Int_Tables_number 1
_symmetry_space_group_name_Hall 'P 1'
loop_
_atom_site_label
_atom_site_fract_x
_atom_site_fract_y
_atom_site_fract_z
Pm1 0.000 0.000 0.000
Mg1 0.500 0.500 0.500
Ge1 0.750 0.750 0.750
Au1 0.250 0.250 0.250
# Energy relative to the elements in meV/atom: -626
# DOS(E_F) in states/eV/cell: 1.6

***

2.
# TbPr2Gd GGA-PBE optimized geometry
data_TbPr2Gd
_cell_length_a 5.795
_cell_length_b 5.795
_cell_length_c 5.795
_cell_angle_alpha 60.00
_cell_angle_beta 60.00
_cell_angle_gamma 60.00
_symmetry_space_group_name_H-M 'P 1'
_symmetry_Int_Tables_number 1
_symmetry_space_group_name_Hall 'P 1'
loop_
_atom_site_label
_atom_site_fract_x
_atom_site_fract_y
_atom_site_fract_z
Tb1 0.000 0.000 0.000
Pr1 0.250 0.250 0.250
Pr2 0.750 0.750 0.750
Gd1 0.500 0.500 0.500
# Energy relative to the elements in meV/atom: 108
# DOS(E_F) in states/eV/cell: 8.7

***

The lowest DOS(E_F) belongs to which entry? PmMgGeAu